## P
A relaxed structure of GdGaGe. Source: the Open Quantum Materials Database, functional PBE.

Lattice parameters (Å, degrees): 7.6267 7.6267 4.1133 90.00 90.00 120.00
Element x y z (fractional)
Gd1 0.0000 0.7230 0.0000
Gd2 0.2770 0.2770 0.0000
Gd3 0.7230 0.0000 0.0000
Ga1 0.0000 0.4053 0.5000
Ga2 0.4053 0.0000 0.5000
Ga3 0.5947 0.5947 0.5000
Ge1 0.0000 0.0000 0.5000
Ge2 0.3333 0.6667 0.0000
Ge3 0.6667 0.3333 0.0000

Results
For the mass density, the calculation gives 7203 kg/m3.



## Q
A relaxed structure of GdGaGe. Source: the Open Quantum Materials Database, functional PBE.

Lattice parameters (Å, degrees): 4.1619 4.1619 4.2991 90.00 90.00 120.00
Element x y z (fractional)
Gd1 0.0000 0.0000 0.0000
Ga1 0.3333 0.6667 0.4076
Ge1 0.6667 0.3333 0.5798

Results
For the mass density, the calculation gives 7715 kg/m3.



The structure with the least stability is P.



## P
A relaxed structure of Gd3Ga3Ni2Ge. Source: the Open Quantum Materials Database, functional PBE.

Lattice parameters (Å, degrees): 7.9071 7.9071 3.3017 90.00 90.00 120.00
Element x y z (fractional)
Gd1 0.0000 0.3087 0.0000
Gd2 0.3087 0.0000 0.0000
Gd3 0.6913 0.6913 0.0000
Ga1 0.0000 0.6272 0.5000
Ga2 0.3728 0.3728 0.5000
Ga3 0.6272 0.0000 0.5000
Ni1 0.3333 0.6667 0.0000
Ni2 0.6667 0.3333 0.0000
Ge1 0.0000 0.0000 0.5000

Results
For the mass density, the calculation gives 8090 kg/m3.



## Q
A relaxed structure of Gd3Ga3Ni2Ge. Source: the Open Quantum Materials Database, functional PBE.

Lattice parameters (Å, degrees): 7.2917 7.2917 3.7845 90.00 90.00 120.00
Element x y z (fractional)
Gd1 0.0000 0.6001 0.0000
Gd2 0.3999 0.3999 0.0000
Gd3 0.6001 0.0000 0.0000
Ga1 0.0000 0.2758 0.5000
Ga2 0.2758 0.0000 0.5000
Ga3 0.7242 0.7242 0.5000
Ni1 0.3333 0.6667 0.5000
Ni2 0.6667 0.3333 0.5000
Ge1 0.0000 0.0000 0.0000

Results
For the mass density, the calculation gives 8299 kg/m3.



The structure with the least stability is P.



## P
A relaxed structure of GdGa2Ir2. Source: the Open Quantum Materials Database, functional PBE.

Lattice parameters (Å, degrees): 5.8671 5.8671 5.8671 137.67 137.67 61.41
Element x y z (fractional)
Gd1 0.0000 0.0000 0.0000
Ga1 0.3770 0.3770 0.0000
Ga2 0.6230 0.6230 0.0000
Ir1 0.2500 0.7500 0.5000
Ir2 0.7500 0.2500 0.5000

Results
For the mass density, the calculation gives 12491 kg/m3.



## Q
A relaxed structure of GdGa2Ir2. Source: the Open Quantum Materials Database, functional PBE.

Lattice parameters (Å, degrees): 4.2369 4.2369 10.2709 90.00 90.00 90.00
Element x y z (fractional)
Gd1 0.2500 0.2500 0.2367
Gd2 0.7500 0.7500 0.7633
Ga1 0.2500 0.2500 0.8722
Ga2 0.2500 0.7500 0.5000
Ga3 0.7500 0.2500 0.5000
Ga4 0.7500 0.7500 0.1278
Ir1 0.2500 0.2500 0.6332
Ir2 0.2500 0.7500 0.0000
Ir3 0.7500 0.2500 0.0000
Ir4 0.7500 0.7500 0.3668

Results
For the mass density, the calculation gives 12269 kg/m3.



The structure with the least stability is P.



## P
A relaxed structure of GdMgGa. Source: the Open Quantum Materials Database, functional PBE.

Lattice parameters (Å, degrees): 5.0228 5.0228 6.2094 90.00 90.00 120.00
Element x y z (fractional)
Gd1 0.3333 0.6667 0.2500
Gd2 0.6667 0.3333 0.7500
Mg1 0.0000 0.0000 0.0000
Mg2 0.0000 0.0000 0.5000
Ga1 0.3333 0.6667 0.7500
Ga2 0.6667 0.3333 0.2500

Results
For the mass density, the calculation gives 6151 kg/m3.



## Q
A relaxed structure of GdMgGa. Source: the Open Quantum Materials Database, functional PBE.

Lattice parameters (Å, degrees): 7.3178 7.3178 4.4646 90.00 90.00 120.00
Element x y z (fractional)
Gd1 0.0000 0.5733 0.0000
Gd2 0.4267 0.4267 0.0000
Gd3 0.5733 0.0000 0.0000
Mg1 0.0000 0.2430 0.5000
Mg2 0.2430 0.0000 0.5000
Mg3 0.7570 0.7570 0.5000
Ga1 0.0000 0.0000 0.0000
Ga2 0.3333 0.6667 0.5000
Ga3 0.6667 0.3333 0.5000

Results
For the mass density, the calculation gives 6046 kg/m3.



The structure with the least stability is P.



## P
A relaxed structure of GdMgGa. Source: the Open Quantum Materials Database, functional PBE.

Lattice parameters (Å, degrees): 7.3872 4.4153 8.5544 90.00 90.00 90.00
Element x y z (fractional)
Gd1 0.0231 0.2500 0.1830
Gd2 0.4769 0.7500 0.6830
Gd3 0.5231 0.2500 0.3170
Gd4 0.9769 0.7500 0.8170
Mg1 0.1493 0.2500 0.5594
Mg2 0.3507 0.7500 0.0594
Mg3 0.6493 0.2500 0.9406
Mg4 0.8507 0.7500 0.4406
Ga1 0.2424 0.7500 0.3798
Ga2 0.2576 0.2500 0.8798
Ga3 0.7424 0.7500 0.1202
Ga4 0.7576 0.2500 0.6202

Results
For the mass density, the calculation gives 5982 kg/m3.



## Q
A relaxed structure of GdMgGa. Source: the Open Quantum Materials Database, functional PBE.

Lattice parameters (Å, degrees): 7.2530 7.2530 4.5587 90.00 90.00 120.00
Element x y z (fractional)
Gd1 0.0000 0.5693 0.0000
Gd2 0.4307 0.4307 0.0000
Gd3 0.5693 0.0000 0.0000
Mg1 0.0000 0.0000 0.0000
Mg2 0.3333 0.6667 0.5000
Mg3 0.6667 0.3333 0.5000
Ga1 0.0000 0.2434 0.5000
Ga2 0.2434 0.0000 0.5000
Ga3 0.7566 0.7566 0.5000

Results
For the mass density, the calculation gives 6027 kg/m3.



## R
A relaxed structure of GdMgGa. Source: the Open Quantum Materials Database, functional PBE.

Lattice parameters (Å, degrees): 4.6923 4.6923 7.2617 90.00 90.00 120.00
Element x y z (fractional)
Gd1 0.0000 0.0000 0.0000
Gd2 0.0000 0.0000 0.5000
Mg1 0.3333 0.6667 0.2500
Mg2 0.6667 0.3333 0.7500
Ga1 0.3333 0.6667 0.7500
Ga2 0.6667 0.3333 0.2500

Results
For the mass density, the calculation gives 6027 kg/m3.



## S
A relaxed structure of GdMgGa. Source: the Open Quantum Materials Database, functional PBE.

Lattice parameters (Å, degrees): 7.7928 3.3768 10.7332 90.00 90.00 90.00
Element x y z (fractional)
Gd1 0.1564 0.2500 0.0922
Gd2 0.3436 0.7500 0.5922
Gd3 0.6564 0.2500 0.4078
Gd4 0.8436 0.7500 0.9078
Mg1 0.0783 0.2500 0.3880
Mg2 0.4217 0.7500 0.8880
Mg3 0.5783 0.2500 0.1120
Mg4 0.9217 0.7500 0.6120
Ga1 0.1342 0.2500 0.7909
Ga2 0.3658 0.7500 0.2909
Ga3 0.6342 0.2500 0.7091
Ga4 0.8658 0.7500 0.2091

Results
For the mass density, the calculation gives 5909 kg/m3.



The structure with the least stability is Q.



## P
A relaxed structure of NaGdGa. Source: the Open Quantum Materials Database, functional PBE.

Lattice parameters (Å, degrees): 4.9750 4.9750 4.9750 60.00 60.00 60.00
Element x y z (fractional)
Na1 0.0000 0.0000 0.0000
Gd1 0.7500 0.7500 0.7500
Ga1 0.5000 0.5000 0.5000

Results
For the mass density, the calculation gives 4767 kg/m3.



## Q
A relaxed structure of NaGdGa. Source: the Open Quantum Materials Database, functional PBE.

Lattice parameters (Å, degrees): 4.9435 4.9435 4.9435 60.00 60.00 60.00
Element x y z (fractional)
Na1 0.0000 0.0000 0.0000
Gd1 0.5000 0.5000 0.5000
Ga1 0.7500 0.7500 0.7500

Results
For the mass density, the calculation gives 4859 kg/m3.



The structure with the least stability is P.